Computed, not measured: a relaxed structure of Tc3NiAs at the GGA-PBE level of DFT.

a b c (Å): 4.494 4.494 4.494
angles (deg): 90.00 90.00 90.00
Space group Pm-3m (No. 221)
Symmetry-distinct sites (fractional):
Tc1 0.000 0.000 0.500 (multiplicity 3)
Ni1 0.500 0.500 0.500 (multiplicity 1)
As1 0.000 0.000 0.000 (multiplicity 1)

- VASP energy (eV per cell) = -34.6
- DFT formation energy (eV/f.u.) = 6.9